1.
{"formula": "Cu3SeI", "functional": "PBE", "state": "relaxed", "cell": [[4.7351, 0.0000, 0.0000], [0.0000, 4.7351, 0.0000], [0.0000, 0.0000, 4.7351]], "species": ["Cu", "I", "Cu", "Cu", "Se"], "fractional_positions": [[0.5000, 0.0000, 0.0000], [0.5000, 0.5000, 0.5000], [0.0000, 0.0000, 0.5000], [0.0000, 0.5000, 0.0000], [0.0000, 0.0000, 0.0000]], "e_above_lowest_polymorph_mev_per_atom": 285, "e_tot_ev_per_cell": -16.4, "e_form_raw_mev_per_atom": 187}


2.
{"formula": "Ba4Y2Cu6O13", "functional": "PBE", "state": "relaxed", "cell": [[3.9126, 0.0000, 0.0000], [0.0000, 7.7151, 0.0000], [0.0000, 0.0000, 11.9670]], "species": ["O", "Y", "Cu", "O", "O", "O", "O", "Ba", "O", "O", "Cu", "Y", "O", "Cu", "Ba", "Cu", "Ba", "O", "O", "O", "Cu", "O", "O", "Cu", "Ba"], "fractional_positions": [[0.5000, 0.0000, 0.3786], [0.5000, 0.7491, 0.5000], [0.0000, 0.0000, 0.3604], [0.0000, 0.5000, 0.8500], [0.0000, 0.2502, 0.3803], [0.0000, 0.5000, 0.1500], [0.5000, 0.5000, 0.3791], [0.5000, 0.2439, 0.1882], [0.5000, 0.0000, 0.6214], [0.0000, 0.7498, 0.3803], [0.0000, 0.5000, 0.3605], [0.5000, 0.2509, 0.5000], [0.0000, 0.0000, 0.8422], [0.0000, 0.0000, 0.6396], [0.5000, 0.7561, 0.8118], [0.0000, 0.5000, 0.0000], [0.5000, 0.7561, 0.1882], [0.5000, 0.5000, 0.6209], [0.5000, 0.0000, 0.0000], [0.0000, 0.7498, 0.6197], [0.0000, 0.0000, 0.0000], [0.0000, 0.2502, 0.6197], [0.0000, 0.0000, 0.1578], [0.0000, 0.5000, 0.6395], [0.5000, 0.2439, 0.8118]], "e_tot_ev_per_cell": -155.6, "e_form_raw_mev_per_atom": -1839}